1.
Entry from Alexandria via LeMat-Bulk: Mg3Au13 at its PBEsol-relaxed geometry (SCAN).

a = 4.049 Å, b = 4.049 Å, c = 16.466 Å
α = 90.00°, β = 90.00°, γ = 90.00°
Fractional coordinates of all 16 atoms:
Mg (0.000, 0.000, 0.000)
Mg (0.000, 0.000, 0.254)
Mg (0.500, 0.500, 0.753)
Au (0.000, 0.000, 0.505)
Au (0.000, 0.000, 0.752)
Au (0.000, 0.500, 0.128)
Au (0.000, 0.500, 0.375)
Au (0.000, 0.500, 0.630)
Au (0.000, 0.500, 0.878)
Au (0.500, 0.000, 0.128)
Au (0.500, 0.000, 0.375)
Au (0.500, 0.000, 0.630)
Au (0.500, 0.000, 0.878)
Au (0.500, 0.500, 0.005)
Au (0.500, 0.500, 0.251)
Au (0.500, 0.500, 0.499)

Energy of formation (eV per formula unit): -5.88
D(E_F) (states/eV/atom): 0.253
VASP energy (eV per atom): -57.490
Symmetry: P4mm

***

2.
Entry from Alexandria via LeMat-Bulk: Mg3Au5 at its PBEsol-relaxed geometry (SCAN).

a = 7.486 Å, b = 8.352 Å, c = 4.371 Å
α = 90.00°, β = 90.00°, γ = 90.00°
Fractional coordinates of all 16 atoms:
Mg (0.000, 0.000, 0.000)
Mg (0.000, 0.282, 0.500)
Mg (0.000, 0.718, 0.500)
Mg (0.500, 0.218, 0.500)
Mg (0.500, 0.500, 0.000)
Mg (0.500, 0.782, 0.500)
Au (0.000, 0.500, 0.000)
Au (0.211, 0.000, 0.500)
Au (0.250, 0.250, 0.000)
Au (0.250, 0.750, 0.000)
Au (0.289, 0.500, 0.500)
Au (0.500, 0.000, 0.000)
Au (0.711, 0.500, 0.500)
Au (0.750, 0.250, 0.000)
Au (0.750, 0.750, 0.000)
Au (0.789, 0.000, 0.500)

Energy of formation (eV per formula unit): -4.91
D(E_F) (states/eV/atom): 0.279
VASP energy (eV per atom): -45.702
Symmetry: Cmmm

***

3.
Entry from Alexandria via LeMat-Bulk: MgMn2Au at its PBEsol-relaxed geometry (SCAN).

a = 3.293 Å, b = 3.293 Å, c = 5.897 Å
α = 90.00°, β = 90.00°, γ = 90.00°
Fractional coordinates of all 4 atoms:
Mg (0.000, 0.000, 0.000)
Mn (0.500, 0.500, 0.258)
Mn (0.500, 0.500, 0.742)
Au (0.000, 0.000, 0.500)

Energy of formation (eV per formula unit): -1.11
D(E_F) (states/eV/atom): 0.494
VASP energy (eV per atom): -27.937
Symmetry: P4/mmm

***

4.
Entry from Alexandria via LeMat-Bulk: Mg2MnAu at its PBEsol-relaxed geometry (SCAN).

a = 6.442 Å, b = 6.442 Å, c = 6.442 Å
α = 90.00°, β = 90.00°, γ = 90.00°
Fractional coordinates of all 16 atoms:
Mg (0.000, 0.000, 0.000)
Mg (0.000, 0.500, 0.500)
Mg (0.250, 0.250, 0.250)
Mg (0.250, 0.750, 0.750)
Mg (0.500, 0.000, 0.500)
Mg (0.500, 0.500, 0.000)
Mg (0.750, 0.250, 0.750)
Mg (0.750, 0.750, 0.250)
Mn (0.250, 0.250, 0.750)
Mn (0.250, 0.750, 0.250)
Mn (0.750, 0.250, 0.250)
Mn (0.750, 0.750, 0.750)
Au (0.000, 0.000, 0.500)
Au (0.000, 0.500, 0.000)
Au (0.500, 0.000, 0.000)
Au (0.500, 0.500, 0.500)

Energy of formation (eV per formula unit): -1.75
D(E_F) (states/eV/atom): 0.430
VASP energy (eV per atom): -24.778
Symmetry: F-43m

***

5.
Entry from Alexandria via LeMat-Bulk: MgMn2Au at its PBEsol-relaxed geometry (SCAN).

a = 9.199 Å, b = 2.895 Å, c = 4.764 Å
α = 90.00°, β = 102.92°, γ = 90.00°
Fractional coordinates of all 8 atoms:
Mg (0.000, 0.000, 0.000)
Mg (0.500, 0.500, 0.000)
Mn (0.242, 0.000, 0.732)
Mn (0.499, 0.000, 0.507)
Mn (0.742, 0.500, 0.732)
Mn (0.999, 0.500, 0.507)
Au (0.252, 0.500, 0.248)
Au (0.752, 0.000, 0.248)

Energy of formation (eV per formula unit): -0.90
D(E_F) (states/eV/atom): 0.580
VASP energy (eV per atom): -27.885
Symmetry: Cm

***

6.
Entry from Alexandria via LeMat-Bulk: Mg2MnAu at its PBEsol-relaxed geometry (SCAN).

a = 3.317 Å, b = 3.317 Å, c = 6.141 Å
α = 90.00°, β = 90.00°, γ = 90.00°
Fractional coordinates of all 4 atoms:
Mg (0.000, 0.000, 0.249)
Mg (0.000, 0.000, 0.751)
Mn (0.500, 0.500, 0.500)
Au (0.500, 0.500, 0.000)

Energy of formation (eV per formula unit): -1.52
D(E_F) (states/eV/atom): 0.527
VASP energy (eV per atom): -24.720
Symmetry: P4/mmm

***

7.
Entry from Alexandria via LeMat-Bulk: MgMn2Au at its PBEsol-relaxed geometry (SCAN).

a = 3.902 Å, b = 3.902 Å, c = 3.978 Å
α = 90.00°, β = 90.00°, γ = 90.00°
Fractional coordinates of all 4 atoms:
Mg (0.000, 0.000, 0.000)
Mn (0.000, 0.500, 0.500)
Mn (0.500, 0.000, 0.500)
Au (0.500, 0.500, 0.000)

Energy of formation (eV per formula unit): -1.44
D(E_F) (states/eV/atom): 0.487
VASP energy (eV per atom): -28.020
Symmetry: P4/mmm

***

8.
Entry from Alexandria via LeMat-Bulk: MgZrMnAu2 at its PBEsol-relaxed geometry (SCAN).

a = 4.894 Å, b = 4.894 Å, c = 4.388 Å
α = 90.00°, β = 90.00°, γ = 90.00°
Fractional coordinates of all 5 atoms:
Mg (0.000, 0.000, 0.000)
Zr (0.500, 0.500, 0.000)
Mn (0.500, 0.500, 0.500)
Au (0.000, 0.500, 0.500)
Au (0.500, 0.000, 0.500)

Energy of formation (eV per formula unit): 0.92
D(E_F) (states/eV/atom): 0.493
VASP energy (eV per atom): -38.265
Symmetry: P4/mmm

***

9.
Entry from Alexandria via LeMat-Bulk: MgMo2Au at its PBEsol-relaxed geometry (SCAN).

a = 2.693 Å, b = 2.693 Å, c = 8.908 Å
α = 90.00°, β = 90.00°, γ = 90.00°
Fractional coordinates of all 4 atoms:
Mg (0.000, 0.000, 0.000)
Mo (0.000, 0.000, 0.511)
Mo (0.500, 0.500, 0.257)
Au (0.500, 0.500, 0.754)

Energy of formation (eV per formula unit): 0.47
D(E_F) (states/eV/atom): 0.470
VASP energy (eV per atom): -35.858
Symmetry: P4mm

***

10.
Entry from Alexandria via LeMat-Bulk: Mg2MoAu at its PBEsol-relaxed geometry (SCAN).

a = 2.910 Å, b = 4.773 Å, c = 10.008 Å
α = 90.00°, β = 90.00°, γ = 90.00°
Fractional coordinates of all 8 atoms:
Mg (0.000, 0.000, 0.000)
Mg (0.000, 0.500, 0.223)
Mg (0.500, 0.000, 0.723)
Mg (0.500, 0.500, 0.500)
Mo (0.000, 0.500, 0.755)
Mo (0.500, 0.000, 0.255)
Au (0.000, 0.000, 0.491)
Au (0.500, 0.500, 0.991)

Energy of formation (eV per formula unit): 0.36
D(E_F) (states/eV/atom): 0.712
VASP energy (eV per atom): -28.408
Symmetry: Imm2
ΔE to the lowest computed polymorph (eV per atom): 0.124

***

11.
Entry from Alexandria via LeMat-Bulk: MgMo2Au at its PBEsol-relaxed geometry (SCAN).

a = 2.687 Å, b = 2.687 Å, c = 8.970 Å
α = 90.00°, β = 90.00°, γ = 90.00°
Fractional coordinates of all 4 atoms:
Mg (0.000, 0.000, 0.000)
Mo (0.500, 0.500, 0.254)
Mo (0.500, 0.500, 0.746)
Au (0.000, 0.000, 0.500)

Energy of formation (eV per formula unit): 1.16
D(E_F) (states/eV/atom): 0.669
VASP energy (eV per atom): -35.686
Symmetry: P4/mmm

***

12.
Entry from Alexandria via LeMat-Bulk: MgMo2Au at its PBEsol-relaxed geometry (SCAN).

a = 3.717 Å, b = 3.717 Å, c = 4.584 Å
α = 90.00°, β = 90.00°, γ = 90.00°
Fractional coordinates of all 4 atoms:
Mg (0.000, 0.000, 0.000)
Mo (0.000, 0.500, 0.500)
Mo (0.500, 0.000, 0.500)
Au (0.500, 0.500, 0.000)

Energy of formation (eV per formula unit): -0.02
D(E_F) (states/eV/atom): 0.443
VASP energy (eV per atom): -35.979
Symmetry: P4/mmm

***

13.
Entry from Alexandria via LeMat-Bulk: Mg2MoAu at its PBEsol-relaxed geometry (SCAN).

a = 4.124 Å, b = 4.124 Å, c = 3.955 Å
α = 90.00°, β = 90.00°, γ = 90.00°
Fractional coordinates of all 4 atoms:
Mg (0.000, 0.500, 0.000)
Mg (0.500, 0.000, 0.000)
Mo (0.000, 0.000, 0.500)
Au (0.500, 0.500, 0.500)

Energy of formation (eV per formula unit): -0.14
D(E_F) (states/eV/atom): 0.404
VASP energy (eV per atom): -28.532
Symmetry: P4/mmm
ΔE to the lowest computed polymorph (eV per atom): 0.000

***

14.
Entry from Alexandria via LeMat-Bulk: MgMo2Au at its PBEsol-relaxed geometry (SCAN).

a = 3.747 Å, b = 3.747 Å, c = 8.985 Å
α = 90.00°, β = 90.00°, γ = 90.00°
Fractional coordinates of all 8 atoms:
Mg (0.000, 0.000, 0.000)
Mg (0.500, 0.500, 0.500)
Mo (0.000, 0.500, 0.250)
Mo (0.000, 0.500, 0.750)
Mo (0.500, 0.000, 0.250)
Mo (0.500, 0.000, 0.750)
Au (0.000, 0.000, 0.500)
Au (0.500, 0.500, 0.000)

Energy of formation (eV per formula unit): -0.07
D(E_F) (states/eV/atom): 0.382
VASP energy (eV per atom): -35.992
Symmetry: I4/mmm

***

15.
Entry from Alexandria via LeMat-Bulk: MgMoAu at its PBEsol-relaxed geometry (SCAN).

a = 4.600 Å, b = 4.600 Å, c = 2.691 Å
α = 90.00°, β = 90.00°, γ = 120.00°
Fractional coordinates of all 3 atoms:
Mg (0.000, 0.000, 0.000)
Mo (0.667, 0.333, 0.498)
Au (0.333, 0.667, 0.997)

Energy of formation (eV per formula unit): 0.68
D(E_F) (states/eV/atom): 0.476
VASP energy (eV per atom): -36.113
Symmetry: P3m1

***

16.
Entry from Alexandria via LeMat-Bulk: MgMo2Au at its PBEsol-relaxed geometry (SCAN).

a = 3.286 Å, b = 4.657 Å, c = 8.612 Å
α = 90.00°, β = 90.00°, γ = 90.00°
Fractional coordinates of all 8 atoms:
Mg (0.000, 0.000, 0.000)
Mg (0.500, 0.500, 0.500)
Mo (0.000, 0.000, 0.479)
Mo (0.000, 0.500, 0.771)
Mo (0.500, 0.000, 0.271)
Mo (0.500, 0.500, 0.979)
Au (0.000, 0.500, 0.249)
Au (0.500, 0.000, 0.749)

Energy of formation (eV per formula unit): 0.47
D(E_F) (states/eV/atom): 0.627
VASP energy (eV per atom): -35.858
Symmetry: Imm2

***

17.
Entry from Alexandria via LeMat-Bulk: Mg2MoAu at its PBEsol-relaxed geometry (SCAN).

a = 6.465 Å, b = 6.465 Å, c = 6.465 Å
α = 90.00°, β = 90.00°, γ = 90.00°
Fractional coordinates of all 16 atoms:
Mg (0.250, 0.250, 0.250)
Mg (0.250, 0.250, 0.750)
Mg (0.250, 0.750, 0.250)
Mg (0.250, 0.750, 0.750)
Mg (0.750, 0.250, 0.250)
Mg (0.750, 0.250, 0.750)
Mg (0.750, 0.750, 0.250)
Mg (0.750, 0.750, 0.750)
Mo (0.000, 0.000, 0.000)
Mo (0.000, 0.500, 0.500)
Mo (0.500, 0.000, 0.500)
Mo (0.500, 0.500, 0.000)
Au (0.000, 0.000, 0.500)
Au (0.000, 0.500, 0.000)
Au (0.500, 0.000, 0.000)
Au (0.500, 0.500, 0.500)

Energy of formation (eV per formula unit): 0.14
D(E_F) (states/eV/atom): 0.327
VASP energy (eV per atom): -28.462
Symmetry: Fm-3m
ΔE to the lowest computed polymorph (eV per atom): 0.070

***

18.
Entry from Alexandria via LeMat-Bulk: MgMoPdAu2 at its PBEsol-relaxed geometry (SCAN).

a = 4.684 Å, b = 4.684 Å, c = 4.501 Å
α = 90.00°, β = 90.00°, γ = 90.00°
Fractional coordinates of all 5 atoms:
Mg (0.000, 0.000, 0.000)
Mo (0.500, 0.500, 0.500)
Pd (0.000, 0.000, 0.500)
Au (0.000, 0.500, 0.000)
Au (0.500, 0.000, 0.000)

Energy of formation (eV per formula unit): 4.32
D(E_F) (states/eV/atom): 0.292
VASP energy (eV per atom): -41.325
Symmetry: P4/mmm

***

19.
Entry from Alexandria via LeMat-Bulk: MgAuN3 at its PBEsol-relaxed geometry (SCAN).

a = 3.925 Å, b = 3.925 Å, c = 3.925 Å
α = 90.00°, β = 90.00°, γ = 90.00°
Fractional coordinates of all 5 atoms:
Mg (0.000, 0.000, 0.000)
Au (0.500, 0.500, 0.500)
N (0.000, 0.000, 0.500)
N (0.000, 0.500, 0.000)
N (0.500, 0.000, 0.000)

D(E_F) (states/eV/atom): 0.744
Uncorrected formation energy (eV per formula unit): 10.11
VASP energy (eV per atom): -18.379
Symmetry: Pm-3m

***

20.
Entry from Alexandria via LeMat-Bulk: Mg3AuN at its PBEsol-relaxed geometry (SCAN).

a = 4.231 Å, b = 4.231 Å, c = 4.231 Å
α = 90.00°, β = 90.00°, γ = 90.00°
Fractional coordinates of all 5 atoms:
Mg (0.000, 0.000, 0.500)
Mg (0.000, 0.500, 0.000)
Mg (0.500, 0.000, 0.000)
Au (0.500, 0.500, 0.500)
N (0.000, 0.000, 0.000)

D(E_F) (states/eV/atom): 0.231
Uncorrected formation energy (eV per formula unit): -3.85
VASP energy (eV per atom): -19.445
Symmetry: Pm-3m